Entry 1:
## MgSnN3 (PBE)

Data for a relaxed structure of MgSnN3.

## Properties
For the magnetization, the calculation gives 3.00 μB per formula unit. Its uncorrected formation energy is 1269.8 meV/atom.

Geometry as CIF:
```
data_MgSnN3
_chemical_formula_sum 'Mg1 Sn1 N3'
_cell_length_a 4.138
_cell_length_b 4.138
_cell_length_c 4.138
_cell_angle_alpha 90.00
_cell_angle_beta 90.00
_cell_angle_gamma 90.00
_symmetry_space_group_name_H-M 'P m -3 m'
_symmetry_Int_Tables_number 221
_symmetry_space_group_name_Hall '-P 4 2 3'
loop_
_atom_site_label
_atom_site_fract_x
_atom_site_fract_y
_atom_site_fract_z
Mg1 0.000 0.000 0.000
Sn1 0.500 0.500 0.500
N1 0.000 0.500 0.500
```

Entry 2:
## MgSnN2 (PBE)

Data for a relaxed structure of MgSnN2.

## Properties
For the magnetization, the calculation gives 0.00 μB per formula unit. Its uncorrected formation energy is -241.9 meV/atom.

Geometry as CIF:
```
data_MgSnN2
_chemical_formula_sum 'Mg1 Sn1 N2'
_cell_length_a 3.4551
_cell_length_b 3.4551
_cell_length_c 5.6006
_cell_angle_alpha 90.00
_cell_angle_beta 90.00
_cell_angle_gamma 120.00
_symmetry_space_group_name_H-M 'P 3 m 1'
_symmetry_Int_Tables_number 156
loop_
_symmetry_equiv_pos_as_xyz
'x,y,z'
'-y,x-y,z'
'-x+y,-x,z'
'-y,-x,z'
'-x+y,y,z'
'x,x-y,z'
loop_
_atom_site_label
_atom_site_fract_x
_atom_site_fract_y
_atom_site_fract_z
Mg1 0.0000 0.0000 0.0000
Sn1 0.6667 0.3333 0.5341
N1 0.0000 0.0000 0.3866
N2 0.6667 0.3333 0.8934
```

Entry 3:
## Mg4Sn2N (PBE)

Data for a relaxed structure of Mg4Sn2N.

## Properties
For the magnetization, the calculation gives 0.00 μB per formula unit. Its uncorrected formation energy is -256.6 meV/atom.

Geometry as CIF:
```
data_Mg4Sn2N
_chemical_formula_sum 'Mg8 Sn4 N2'
_cell_length_a 4.314
_cell_length_b 4.314
_cell_length_c 15.174
_cell_angle_alpha 90.00
_cell_angle_beta 90.00
_cell_angle_gamma 90.00
_symmetry_space_group_name_H-M 'I 4/m m m'
_symmetry_Int_Tables_number 139
_symmetry_space_group_name_Hall '-I 4 2'
loop_
_atom_site_label
_atom_site_fract_x
_atom_site_fract_y
_atom_site_fract_z
Mg1 0.000 0.000 0.143
Mg2 0.000 0.500 0.000
Sn1 0.000 0.000 0.338
N1 0.000 0.000 0.000
```

Entry 4:
## MgSnN3 (PBE)

Data for a relaxed structure of MgSnN3.

## Properties
For the magnetization, the calculation gives 4.87 μB per formula unit. Its uncorrected formation energy is 1473.1 meV/atom.

Geometry as CIF:
```
data_MgSnN3
_chemical_formula_sum 'Mg1 Sn1 N3'
_cell_length_a 4.067
_cell_length_b 4.067
_cell_length_c 4.067
_cell_angle_alpha 90.00
_cell_angle_beta 90.00
_cell_angle_gamma 90.00
_symmetry_space_group_name_H-M 'P m -3 m'
_symmetry_Int_Tables_number 221
_symmetry_space_group_name_Hall '-P 4 2 3'
loop_
_atom_site_label
_atom_site_fract_x
_atom_site_fract_y
_atom_site_fract_z
Mg1 0.000 0.000 0.000
Sn1 0.500 0.500 0.500
N1 0.000 0.000 0.500
```

Entry 5:
## Sr2MgSnN (PBE)

Data for a relaxed structure of Sr2MgSnN.

## Properties
For the magnetization, the calculation gives 0.00 μB per formula unit. Its uncorrected formation energy is -595.4 meV/atom.

Geometry as CIF:
```
data_Sr2MgSnN
_chemical_formula_sum 'Sr2 Mg1 Sn1 N1'
_cell_length_a 5.532
_cell_length_b 5.532
_cell_length_c 4.129
_cell_angle_alpha 90.00
_cell_angle_beta 90.00
_cell_angle_gamma 90.00
_symmetry_space_group_name_H-M 'P 4/m m m'
_symmetry_Int_Tables_number 123
_symmetry_space_group_name_Hall '-P 4 2'
loop_
_atom_site_label
_atom_site_fract_x
_atom_site_fract_y
_atom_site_fract_z
Sr1 0.000 0.500 0.000
Mg1 0.000 0.000 0.500
Sn1 0.500 0.500 0.500
N1 0.000 0.000 0.000
```

Entry 6:
## MgTaSn2N (PBE)

Data for a relaxed structure of MgTaSn2N.

## Properties
For the magnetization, the calculation gives 0.00 μB per formula unit. Its uncorrected formation energy is 1161.5 meV/atom.

Geometry as CIF:
```
data_MgTaSn2N
_chemical_formula_sum 'Mg1 Ta1 Sn2 N1'
_cell_length_a 5.486
_cell_length_b 5.486
_cell_length_c 3.555
_cell_angle_alpha 90.00
_cell_angle_beta 90.00
_cell_angle_gamma 90.00
_symmetry_space_group_name_H-M 'P 4/m m m'
_symmetry_Int_Tables_number 123
_symmetry_space_group_name_Hall '-P 4 2'
loop_
_atom_site_label
_atom_site_fract_x
_atom_site_fract_y
_atom_site_fract_z
Mg1 0.000 0.000 0.000
Ta1 0.500 0.500 0.500
Sn1 0.000 0.500 0.000
N1 0.000 0.000 0.500
```